No. 1
Below is a PBEsol-optimized structure of BaCdIn, with properties calculated at the SCAN level.

Calculated values
SG: P-6m2
formation energy from the elements: -0.51 eV/atom
total magnetic moment: 0.01 μB per cell
mass density: 6412 kg/m³

POSCAR file:
```
BaCdIn
1.0
4.111 0.000 0.000
0.000 5.150 0.000
0.000 -2.575 4.460
In Ba Cd
1 1 1
direct
0.500 0.667 0.333 In
0.000 0.000 0.000 Ba
0.500 0.333 0.667 Cd
```


No. 2
Below is a PBEsol-optimized structure of BaCdIn2, with properties calculated at the SCAN level.

Calculated values
SG: R-3m
formation energy from the elements: -0.43 eV/atom
total magnetic moment: 0.00 μB per cell
mass density: 6439 kg/m³

POSCAR file:
```
BaCdIn2
1.0
4.811 0.000 0.000
2.406 4.166 0.000
2.406 1.389 6.167
In Ba Cd
2 1 1
direct
0.284 0.284 0.149 In
0.716 0.716 0.851 In
0.500 0.500 0.500 Ba
0.000 0.000 0.000 Cd
```


No. 3
Below is a PBEsol-optimized structure of BaCdIn, with properties calculated at the SCAN level.

Calculated values
SG: F-43m
formation energy from the elements: -0.23 eV/atom
total magnetic moment: 0.77 μB per cell
mass density: 5723 kg/m³

POSCAR file:
```
BaCdIn
1.0
-3.106 -0.696 -4.248
0.160 -4.577 -2.684
-4.104 -3.359 0.234
Cd Ba In
1 1 1
direct
0.500 0.500 0.500 Cd
0.000 0.000 0.000 Ba
0.250 0.250 0.250 In
```


No. 4
Below is a PBEsol-optimized structure of Ba2CdIn, with properties calculated at the SCAN level.

Calculated values
SG: Fm-3m
formation energy from the elements: -0.46 eV/atom
total magnetic moment: 0.00 μB per cell
mass density: 5769 kg/m³

POSCAR file:
```
Ba2CdIn
1.0
5.890 0.000 0.000
2.945 5.101 0.000
2.945 1.700 4.809
In Ba Cd
1 2 1
direct
0.000 0.000 0.000 In
0.250 0.250 0.250 Ba
0.750 0.750 0.750 Ba
0.500 0.500 0.500 Cd
```


No. 5
Below is a PBEsol-optimized structure of Ba2CdIn, with properties calculated at the SCAN level.

Calculated values
SG: P4/mmm
formation energy from the elements: -0.46 eV/atom
total magnetic moment: 0.00 μB per cell
mass density: 5782 kg/m³

POSCAR file:
```
Ba2CdIn
1.0
4.152 0.000 0.000
0.000 4.152 0.000
0.000 0.000 8.362
In Ba Cd
1 2 1
direct
0.500 0.500 0.500 In
0.000 0.000 0.750 Ba
0.000 0.000 0.250 Ba
0.500 0.500 0.000 Cd
```


No. 6
Below is a PBEsol-optimized structure of BaCd2InNi, with properties calculated at the SCAN level.

Calculated values
SG: P4/mmm
formation energy from the elements: 0.05 eV/atom
total magnetic moment: 0.00 μB per cell
mass density: 6434 kg/m³

POSCAR file:
```
BaCd2InNi
1.0
5.040 0.000 0.000
0.000 5.040 0.000
0.000 0.000 5.443
Ni Cd Ba In
1 2 1 1
direct
0.000 0.000 0.000 Ni
0.000 0.500 0.000 Cd
0.500 0.000 0.000 Cd
0.000 0.000 0.500 Ba
0.500 0.500 0.500 In
```


No. 7
Below is a PBEsol-optimized structure of Ba2YCdIn, with properties calculated at the SCAN level.

Calculated values
SG: P4/mmm
formation energy from the elements: 0.29 eV/atom
total magnetic moment: 0.01 μB per cell
mass density: 4492 kg/m³

POSCAR file:
```
Ba2YCdIn
1.0
5.201 0.000 0.000
0.000 6.480 0.000
0.000 0.000 6.480
Y Cd Ba In
1 1 2 1
direct
0.500 0.500 0.500 Y
0.500 0.000 0.000 Cd
0.000 0.000 0.500 Ba
0.000 0.500 0.000 Ba
0.000 0.000 0.000 In
```


No. 8
Below is a PBEsol-optimized structure of BaCd2Ir, with properties calculated at the SCAN level.

Calculated values
SG: P4/mmm
formation energy from the elements: 0.13 eV/atom
total magnetic moment: 0.00 μB per cell
mass density: 10090 kg/m³

POSCAR file:
```
BaCd2Ir
1.0
-2.498 -0.500 -2.144
2.182 -0.131 -2.511
0.724 -8.130 1.054
Ir Ba Cd
1 1 2
direct
0.500 0.500 0.000 Ir
0.500 0.500 0.500 Ba
0.000 0.000 0.816 Cd
0.000 0.000 0.184 Cd
```


No. 9
Below is a PBEsol-optimized structure of BaCdIr2, with properties calculated at the SCAN level.

Calculated values
SG: Cm
formation energy from the elements: 0.31 eV/atom
total magnetic moment: 0.00 μB per cell
mass density: 12027 kg/m³

POSCAR file:
```
BaCdIr2
1.0
3.005 0.000 0.000
0.000 5.675 -0.093
-1.503 -2.701 5.179
Ir Ba Cd
2 1 1
direct
0.021 0.068 0.043 Ir
0.705 0.106 0.411 Ir
0.480 0.513 0.959 Ba
0.293 0.813 0.587 Cd
```


No. 10
Below is a PBEsol-optimized structure of BaCd2Ir, with properties calculated at the SCAN level.

Calculated values
SG: C2/m
formation energy from the elements: -0.10 eV/atom
total magnetic moment: 0.00 μB per cell
mass density: 8668 kg/m³

POSCAR file:
```
BaCd2Ir
1.0
-3.800 -1.672 2.092
0.062 0.551 -4.611
3.223 -5.095 1.783
Ir Ba Cd
1 1 2
direct
0.000 0.000 0.500 Ir
0.500 0.000 0.000 Ba
0.702 0.403 0.604 Cd
0.298 0.597 0.396 Cd
```


No. 11
Below is a PBEsol-optimized structure of BaCdIr2, with properties calculated at the SCAN level.

Calculated values
SG: P4/mmm
formation energy from the elements: 0.68 eV/atom
total magnetic moment: 0.00 μB per cell
mass density: 13129 kg/m³

POSCAR file:
```
BaCdIr2
1.0
4.201 0.000 0.000
0.000 4.369 0.000
0.000 0.000 4.369
Ir Ba Cd
2 1 1
direct
0.000 0.000 0.500 Ir
0.000 0.500 0.000 Ir
0.500 0.500 0.500 Ba
0.500 0.000 0.000 Cd
```


No. 12
Below is a PBEsol-optimized structure of BaCd2Ir, with properties calculated at the SCAN level.

Calculated values
SG: Imm2
formation energy from the elements: 0.15 eV/atom
total magnetic moment: 0.00 μB per cell
mass density: 8908 kg/m³

POSCAR file:
```
BaCd2Ir
1.0
-1.515 -0.630 4.631
0.062 -4.889 1.961
3.667 -0.812 3.695
Ir Ba Cd
1 1 2
direct
0.575 0.425 0.425 Ir
0.748 0.752 0.752 Ba
0.951 0.049 0.049 Cd
0.226 0.274 0.274 Cd
```


No. 13
Below is a PBEsol-optimized structure of BaCdIr2, with properties calculated at the SCAN level.

Calculated values
SG: P4/mmm
formation energy from the elements: 0.55 eV/atom
total magnetic moment: 0.66 μB per cell
mass density: 12613 kg/m³

POSCAR file:
```
BaCdIr2
1.0
3.423 0.000 0.000
0.000 3.423 0.000
0.000 0.000 7.125
Ir Ba Cd
2 1 1
direct
0.000 0.000 0.690 Ir
0.000 0.000 0.310 Ir
0.500 0.500 0.000 Ba
0.500 0.500 0.500 Cd
```


No. 14
Below is a PBEsol-optimized structure of Ba3CdIr2O9, with properties calculated at the SCAN level.

Calculated values
SG: C2/c
total energy: -750.616 eV for the cell shown
total magnetic moment: 4.04 μB per cell
mass density: 8053 kg/m³

POSCAR file:
```
Ba3CdIr2O9
1.0
-2.497 5.291 -0.148
-3.363 -4.778 0.342
1.090 0.614 14.538
Ba Cd Ir O
6 2 4 18
direct
0.676 0.339 0.085 Ba
0.324 0.661 0.915 Ba
0.661 0.324 0.415 Ba
0.339 0.676 0.585 Ba
0.007 0.993 0.250 Ba
0.993 0.007 0.750 Ba
0.000 0.000 0.000 Cd
0.000 0.000 0.500 Cd
0.353 0.681 0.164 Ir
0.647 0.319 0.836 Ir
0.319 0.647 0.336 Ir
0.681 0.353 0.664 Ir
0.608 0.784 0.426 O
0.392 0.216 0.574 O
0.216 0.392 0.074 O
0.784 0.608 0.926 O
0.492 0.508 0.250 O
0.508 0.492 0.750 O
0.215 0.858 0.089 O
0.785 0.142 0.911 O
0.142 0.785 0.411 O
0.858 0.215 0.589 O
0.682 0.857 0.100 O
0.318 0.143 0.900 O
0.143 0.318 0.400 O
0.857 0.682 0.600 O
0.493 0.973 0.262 O
0.507 0.027 0.738 O
0.027 0.507 0.238 O
0.973 0.493 0.762 O
```